# OsAu PBE relaxed
# excess energy over the best structure of this formula in the dataset = 898 meV per atom
# energy of formation = 2.4 eV per formula unit
# symmetry = P4_2/mnm
data_OsAu
_chemical_formula_sum 'Os4 Au4'
_cell_length_a 8.453
_cell_length_b 8.453
_cell_length_c 2.643
_cell_angle_alpha 90.00
_cell_angle_beta 90.00
_cell_angle_gamma 90.00
_space_group_name_H-M_alt 'P 1'
_space_group_IT_number 1
loop_
_space_group_symop_operation_xyz
'x,y,z'
loop_
_atom_site_label
_atom_site_type_symbol
_atom_site_fract_x
_atom_site_fract_y
_atom_site_fract_z
Os1 Os 0.101 0.101 0.000
Os2 Os 0.399 0.601 0.500
Os3 Os 0.601 0.399 0.500
Os4 Os 0.899 0.899 0.000
Au1 Au 0.204 0.796 0.000
Au2 Au 0.296 0.296 0.500
Au3 Au 0.704 0.704 0.500
Au4 Au 0.796 0.204 0.000